Entry from Alexandria via LeMat-Bulk: a geometry-optimized Y3Tm8Sc2 structure (PBE).

Cell: 7.564 19.409 5.502 Å, 90.00 90.00 90.00°
Space group Cmmm (No. 65)
Asymmetric unit:
Y  0.000  0.000  0.000
Y  0.214  0.500  0.500
Tm  0.000  0.136  0.500
Tm  0.000  0.324  0.500
Tm  0.211  0.386  0.000
Sc  0.000  0.241  0.000

Output
Excess energy over the best structure of this formula in the dataset = 7 kJ/mol of formula units
Size of the total moment = 0.00 μB per formula unit
Crystal system = orthorhombic

Entry from Alexandria via LeMat-Bulk: a geometry-optimized YCuSb2 structure (PBE).

Cell: 4.146 4.749 9.419 Å, 90.00 90.00 90.00°
Space group Immm (No. 71)
Asymmetric unit:
Y  0.000  0.000  0.000
Cu  0.000  0.000  0.500
Sb  0.000  0.500  0.237

Output
Excess energy over the best structure of this formula in the dataset = 121 kJ/mol of formula units
Size of the total moment = 0.00 μB per formula unit
Crystal system = orthorhombic
Energy relative to the elements, uncorrected = -0.31 eV per atom

Entry from Alexandria via LeMat-Bulk: a geometry-optimized SbTe6I2 structure (PBE).

Cell: 4.778 9.061 9.316 Å, 110.77 99.50 99.14°
Space group P-1 (No. 2)
Asymmetric unit:
Sb  0.000  0.000  0.000
Te  0.119  0.798  0.516
Te  0.121  0.464  0.775
Te  0.197  0.322  0.306
I  0.446  0.160  0.874

Output
Size of the total moment = 0.00 μB per formula unit
Crystal system = triclinic
Energy relative to the elements, uncorrected = 0.01 eV per atom

Entry from Alexandria via LeMat-Bulk: a geometry-optimized SrZrS3 structure (PBE).

Cell: 8.646 3.846 14.032 Å, 90.00 90.00 90.00°
Space group Pnma (No. 62)
Asymmetric unit:
Sr  0.063  0.250  0.180
Zr  0.173  0.750  0.444
S  0.014  0.750  0.606
S  0.163  0.750  0.015
S  0.207  0.250  0.784

Output
Excess energy over the best structure of this formula in the dataset = 0 kJ/mol of formula units
Size of the total moment = 0.00 μB per formula unit
Crystal system = orthorhombic
Energy relative to the elements, uncorrected = -1.78 eV per atom

Entry from Alexandria via LeMat-Bulk: a geometry-optimized DyHoIn2S6 structure (PBE).

Cell: 6.7981 6.7981 18.1836 Å, 90.00 90.00 120.00°
Space group R3 (No. 146, hexagonal axes)
Asymmetric unit:
Dy  0.0000  0.0000  0.0000
Ho  0.0000  0.0000  0.4993
In  0.0000  0.0000  0.2929
In  0.0000  0.0000  0.7935
S  0.0114  0.3063  0.8977
S  0.0132  0.7071  0.3979

Output
Size of the total moment = 0.00 μB per formula unit
Crystal system = trigonal
Energy relative to the elements, uncorrected = -1.26 eV per atom

Entry from Alexandria via LeMat-Bulk: a geometry-optimized Ac2Mn2BeN6 structure (PBE).

Cell: 5.6047 5.6047 15.8807 Å, 90.00 90.00 120.00°
Space group R-3m (No. 166, hexagonal axes)
Asymmetric unit:
Ac  0.0000  0.0000  0.2356
Mn  0.0000  0.0000  0.4310
Be  0.0000  0.0000  0.0000
N  0.0078  0.5039  0.7412

Output
Size of the total moment = 0.00 μB per formula unit
Crystal system = trigonal
Energy relative to the elements, uncorrected = -0.53 eV per atom

Entry from Alexandria via LeMat-Bulk: a geometry-optimized Sm4YTm structure (PBE).

Cell: 11.642 11.663 3.458 Å, 90.00 90.00 90.00°
Space group Cmmm (No. 65)
Asymmetric unit:
Sm  0.000  0.242  0.000
Sm  0.238  0.500  0.500
Y  0.000  0.000  0.500
Tm  0.000  0.500  0.000

Output
Excess energy over the best structure of this formula in the dataset = 369 kJ/mol of formula units
Size of the total moment = 0.00 μB per formula unit
Crystal system = orthorhombic

Entry from Alexandria via LeMat-Bulk: a geometry-optimized LiTb2HoTl4 structure (PBE).

Cell: 5.2369 5.2369 26.4846 Å, 90.00 90.00 120.00°
Space group R-3m (No. 166, hexagonal axes)
Asymmetric unit:
Li  0.0000  0.0000  0.0000
Tb  0.0000  0.0000  0.2547
Ho  0.0000  0.0000  0.5000
Tl  0.0000  0.0000  0.1235
Tl  0.0000  0.0000  0.3731

Output
Size of the total moment = 0.00 μB per formula unit
E_tot = -27.8 eV/f.u.
Crystal system = trigonal

Entry from Alexandria via LeMat-Bulk: a geometry-optimized BiTeS3 structure (PBE).

Cell: 5.189 5.189 5.189 Å, 90.00 90.00 90.00°
Space group Pm-3m (No. 221)
Asymmetric unit:
Bi  0.000  0.000  0.000
Te  0.500  0.500  0.500
S  0.000  0.000  0.500

Output
Excess energy over the best structure of this formula in the dataset = 351 kJ/mol of formula units
Size of the total moment = 0.00 μB per formula unit
Crystal system = cubic
Energy relative to the elements, uncorrected = 0.69 eV per atom

Entry from Alexandria via LeMat-Bulk: a geometry-optimized Dy3Tl2In3Co structure (PBE).

Cell: 7.5336 7.5336 4.4065 Å, 90.00 90.00 120.00°
Space group P-62m (No. 189)
Asymmetric unit:
Dy  0.0000  0.3839  0.0000
Tl  0.3333  0.6667  0.5000
In  0.0000  0.7692  0.5000
Co  0.0000  0.0000  0.0000

Output
Size of the total moment = 0.00 μB per formula unit
E_tot = -36.9 eV/f.u.
Crystal system = hexagonal

Entry from Alexandria via LeMat-Bulk: a geometry-optimized Mg4Tl3Pb structure (PBE).

Cell: 3.608 3.608 15.526 Å, 90.00 90.00 90.00°
Space group P4/mmm (No. 123)
Asymmetric unit:
Mg  0.000  0.000  0.125
Mg  0.000  0.000  0.367
Tl  0.500  0.500  0.000
Tl  0.500  0.500  0.246
Pb  0.500  0.500  0.500

Output
Size of the total moment = 0.00 μB per formula unit
E_tot = -17.5 eV/f.u.
Crystal system = tetragonal

Entry from Alexandria via LeMat-Bulk: a geometry-optimized La2GaSn4Pd3 structure (PBE).

Cell: 4.536 4.536 11.330 Å, 90.00 90.00 90.00°
Space group P-4m2 (No. 115)
Asymmetric unit:
La  0.000  0.500  0.249
Ga  0.500  0.500  0.000
Sn  0.000  0.000  0.500
Sn  0.000  0.500  0.863
Sn  0.500  0.500  0.500
Pd  0.000  0.000  0.000
Pd  0.000  0.500  0.632

Output
Size of the total moment = 0.00 μB per formula unit
E_tot = -51.9 eV/f.u.
Crystal system = tetragonal

Entry from Alexandria via LeMat-Bulk: a geometry-optimized PaSnPt structure (PBE).

Cell: 4.5239 4.5239 3.8875 Å, 90.00 90.00 120.00°
Space group P3m1 (No. 156)
Asymmetric unit:
Pa  0.0000  0.0000  0.0000
Sn  0.3333  0.6667  0.5306
Pt  0.6667  0.3333  0.3719

Output
Size of the total moment = 0.00 μB per formula unit
E_tot = -21.6 eV/f.u.
Crystal system = trigonal

Entry from Alexandria via LeMat-Bulk: a geometry-optimized Pa2TiNiS5 structure (PBE).

Cell: 3.669 15.439 11.308 Å, 90.00 90.00 90.00°
Space group Cmc2_1 (No. 36)
Asymmetric unit:
Pa  0.000  0.114  0.000
Pa  0.000  0.123  0.355
Ti  0.000  0.180  0.674
Ni  0.000  0.440  0.081
S  0.000  0.018  0.677
S  0.000  0.305  0.022
S  0.000  0.307  0.329
S  0.000  0.343  0.676
S  0.000  0.498  0.408

Output
Size of the total moment = 1.06 μB per formula unit
Crystal system = orthorhombic
Energy relative to the elements, uncorrected = -1.41 eV per atom

Entry from Alexandria via LeMat-Bulk: a geometry-optimized Ba2NaAgH structure (PBE).

Cell: 5.583 5.583 5.001 Å, 90.00 90.00 90.00°
Space group P4/mmm (No. 123)
Asymmetric unit:
Ba  0.000  0.500  0.000
Na  0.000  0.000  0.500
Ag  0.500  0.500  0.500
H  0.500  0.500  0.000

Output
Excess energy over the best structure of this formula in the dataset = 46 kJ/mol of formula units
Size of the total moment = 0.00 μB per formula unit
Crystal system = tetragonal

Entry from Alexandria via LeMat-Bulk: a geometry-optimized TmPdPt6 structure (PBE).

Cell: 8.446 5.273 7.147 Å, 90.00 107.75 90.00°
Space group C2/m (No. 12)
Asymmetric unit:
Tm  0.000  0.000  0.000
Pd  0.000  0.500  0.500
Pt  0.161  0.000  0.464
Pt  0.203  0.246  0.804

Output
Excess energy over the best structure of this formula in the dataset = 230 kJ/mol of formula units
Size of the total moment = 0.00 μB per formula unit
Crystal system = monoclinic

Entry from Alexandria via LeMat-Bulk: a geometry-optimized La2Ga3Pt5 structure (PBE).

Cell: 4.268 25.295 7.427 Å, 90.00 90.00 90.00°
Space group Cmc2_1 (No. 36)
Asymmetric unit:
La  0.000  0.045  0.000
La  0.000  0.333  0.799
Ga  0.000  0.134  0.699
Ga  0.000  0.271  0.253
Ga  0.000  0.465  0.826
Pt  0.000  0.082  0.409
Pt  0.000  0.205  0.979
Pt  0.000  0.225  0.561
Pt  0.000  0.365  0.397
Pt  0.000  0.450  0.166

Output
Excess energy over the best structure of this formula in the dataset = 33 kJ/mol of formula units
Size of the total moment = 0.00 μB per formula unit
Crystal system = orthorhombic

Entry from Alexandria via LeMat-Bulk: a geometry-optimized Ti3V2Ga4 structure (PBE).

Cell: 12.664 9.605 4.760 Å, 90.00 101.85 90.00°
Space group C2/c (No. 15)
Asymmetric unit:
Ti  0.000  0.112  0.250
Ti  0.164  0.382  0.042
V  0.214  0.125  0.398
Ga  0.070  0.357  0.491
Ga  0.118  0.123  0.830

Output
Size of the total moment = 0.00 μB per formula unit
E_tot = -55.8 eV/f.u.
Crystal system = monoclinic

Entry from Alexandria via LeMat-Bulk: a geometry-optimized Re4AsAu structure (PBE).

Cell: 7.427 7.427 7.427 Å, 90.00 90.00 90.00°
Space group F-43m (No. 216)
Asymmetric unit:
Re  0.124  0.124  0.376
As  0.000  0.000  0.000
Au  0.250  0.250  0.750

Output
Size of the total moment = 0.00 μB per formula unit
E_tot = -52.8 eV/f.u.
Crystal system = cubic

Entry from Alexandria via LeMat-Bulk: a geometry-optimized Pr5Mg2Sn structure (PBE).

Cell: 8.185 8.185 15.471 Å, 90.00 90.00 90.00°
Space group I4/mcm (No. 140)
Asymmetric unit:
Pr  0.000  0.000  0.000
Pr  0.163  0.337  0.159
Mg  0.126  0.374  0.500
Sn  0.000  0.000  0.250

Output
Size of the total moment = 0.60 μB per formula unit
E_tot = -32.4 eV/f.u.
Crystal system = tetragonal